1.
## LaGa2SiPd (PBE-GGA)

Data for crystalline LaGa2SiPd at its relaxed geometry.

Unit cell a=6.1152 b=6.1152 c=6.1152 alpha=139.37 beta=139.27 gamma=58.88
Last column: nearest neighbours and their distance in Å.
Positions (direct):
1 La 0.0000 0.0000 0.0000  4 Si 3.25, 8 Ga 3.25-3.41, 4 Pd 3.32-3.50
2 Ga 0.3834 0.3834 0.0000  1 Si 2.48, 2 Ga 2.56, 2 Pd 2.62
3 Ga 0.7495 0.2495 0.5000  2 Si 2.55, 2 Ga 2.56
4 Si 0.6161 0.6161 0.0000  3 Ga 2.48-2.55, 2 Pd 2.50
5 Pd 0.2394 0.7394 0.5000  2 Si 2.50, 2 Ga 2.62

Fermi-level density of states = 1.23 states/eV/f.u.
formation energy (no corrections) = -0.7344 eV per atom

***

2.
## La3Ga2SiPd6 (PBE-GGA)

Data for crystalline La3Ga2SiPd6 at its relaxed geometry.

Unit cell a=5.7876 b=5.7876 c=8.6386 alpha=90.00 beta=90.00 gamma=120.00
Last column: nearest neighbours and their distance in Å.
Positions (direct):
1 La 0.0000 0.0000 0.0000  6 Pd 3.02, 6 Ga 3.36
2 La 0.3333 0.6667 0.6270  6 Pd 2.99
3 La 0.6667 0.3333 0.3730  6 Pd 2.99
4 Ga 0.3333 0.6667 0.0352  3 Pd 2.72
5 Ga 0.6667 0.3333 0.9648  3 Pd 2.72
6 Si 0.0000 0.0000 0.5000  6 Pd 2.51
7 Pd 0.1715 0.3430 0.2877  1 Si 2.51, 1 Ga 2.72, 2 Pd 2.81
8 Pd 0.1715 0.8285 0.2877  1 Si 2.51, 1 Ga 2.72, 2 Pd 2.81
9 Pd 0.3430 0.1715 0.7123  1 Si 2.51, 1 Ga 2.72, 2 Pd 2.81
10 Pd 0.6570 0.8285 0.2877  1 Si 2.51, 1 Ga 2.72, 2 Pd 2.81
11 Pd 0.8285 0.1715 0.7123  1 Si 2.51, 1 Ga 2.72, 2 Pd 2.81
12 Pd 0.8285 0.6570 0.7123  1 Si 2.51, 1 Ga 2.72, 2 Pd 2.81

Fermi-level density of states = 5.87 states/eV/f.u.
formation energy (no corrections) = -0.7499 eV per atom

***

- Look up the Fermi-level density of states of the first one.
  1.23 states/eV/f.u.

***

- Which value of formation energy (no corrections) does entry 1 give?
  -0.7344 eV per atom

***

- Which formula does entry 2 have?
  La3Ga2SiPd6